Entry 1:
{
  "formula": "BaSrBiBr",
  "functional": "GGA-PBE",
  "state": "relaxed",
  "dft_energy_ev_per_atom": -3.67,
  "raw_formation_energy_ev_per_atom": -1.3761,
  "magmom_total_mub_per_atom": 0.000,
  "cell": [[2.4954, 1.4407, 7.7499], [-2.4954, 1.4407, 7.7499], [0.0000, -2.8814, 7.7499]],
  "species": ["Ba", "Sr", "Bi", "Br"],
  "frac_coords": [[0.0000, 0.0000, 0.0000], [0.4878, 0.4878, 0.4878], [0.7491, 0.7491, 0.7491], [0.2415, 0.2415, 0.2415]]
}

Entry 2:
{
  "formula": "TaAuS2",
  "functional": "GGA-PBE",
  "state": "relaxed",
  "dft_energy_ev_per_atom": -5.96,
  "raw_formation_energy_ev_per_atom": -0.1135,
  "magmom_total_mub_per_atom": 0.000,
  "cell": [[-2.9459, 2.9459, 5.1200], [2.9459, -2.9459, 5.1200], [2.9459, 2.9459, -5.1200]],
  "species": ["Ta", "Ta", "Au", "Au", "S", "S", "S", "S"],
  "frac_coords": [[0.0000, 0.0000, 0.0000], [0.7500, 0.2500, 0.5000], [0.2500, 0.7500, 0.5000], [0.5000, 0.5000, 0.0000], [0.1012, 0.6250, 0.9762], [0.3750, 0.3512, 0.4762], [0.6488, 0.1250, 0.0238], [0.8750, 0.8988, 0.5238]]
}

Entry 3:
{
  "formula": "La3IrPb",
  "functional": "GGA-PBE",
  "state": "relaxed",
  "dft_energy_ev_per_atom": -6.09,
  "ef_ev_per_atom": -0.616,
  "magmom_total_mub_per_atom": 0.000,
  "cell": [[4.8280, 0.0000, 0.0000], [0.0000, 7.1832, 0.0000], [0.0000, 0.0000, 9.2531]],
  "species": ["La", "La", "La", "La", "La", "La", "Ir", "Ir", "Pb", "Pb"],
  "frac_coords": [[0.2500, 0.0053, 0.1496], [0.2500, 0.2500, 0.5837], [0.2500, 0.4947, 0.1496], [0.7500, 0.5053, 0.8504], [0.7500, 0.7500, 0.4163], [0.7500, 0.9947, 0.8504], [0.2500, 0.2500, 0.8989], [0.7500, 0.7500, 0.1011], [0.2500, 0.7500, 0.6520], [0.7500, 0.2500, 0.3480]]
}

Entry 4:
{
  "formula": "Na2PaInTe4",
  "functional": "GGA-PBE",
  "state": "relaxed",
  "dft_energy_ev_per_atom": -4.19,
  "raw_formation_energy_ev_per_atom": -0.7637,
  "magmom_total_mub_per_atom": 0.026,
  "cell": [[7.6461, 0.0000, 0.0000], [0.0000, 4.5030, 0.0000], [-2.6131, 0.0000, 7.7631]],
  "species": ["Na", "Na", "Pa", "In", "Te", "Te", "Te", "Te"],
  "frac_coords": [[0.0000, 0.0000, 0.0000], [0.0000, 0.5000, 0.5000], [0.5000, 0.0000, 0.5000], [0.5000, 0.5000, 0.0000], [0.2700, 0.0000, 0.7313], [0.2713, 0.5000, 0.2706], [0.7287, 0.5000, 0.7294], [0.7300, 0.0000, 0.2687]]
}